Entry 1:
A relaxed AcCuSe2 crystal, computed with GGA-PBE.

Its size of the total moment is 0.00 μB per atom. As for the space group: I-4m2, No. 119. For the total energy, the calculation gives -4.975 eV/atom. As for the raw formation energy: -1.182 eV/atom.

Cell: 3.993 3.995 6.762 Å, 107.18 107.15 90.01°
Positions (direct):
Ac1 0.221 0.881 0.228
Se1 0.586 0.245 0.957
Se2 0.857 0.517 0.499
Cu1 0.471 0.631 0.729

Entry 2:
A relaxed AcCu2Se3 crystal, computed with GGA-PBE.

Its size of the total moment is 0.00 μB per atom. As for the space group: Cmcm, No. 63. For the total energy, the calculation gives -4.666 eV/atom. As for the raw formation energy: -0.874 eV/atom.

Cell: 5.092 7.678 7.678 Å, 108.15 90.00 90.00°
Positions (direct):
Ac1 0.250 0.275 0.725
Ac2 0.750 0.725 0.275
Se1 0.750 0.162 0.444
Se2 0.250 0.888 0.112
Se3 0.250 0.444 0.162
Se4 0.750 0.556 0.838
Se5 0.750 0.112 0.888
Se6 0.250 0.838 0.556
Cu1 0.500 0.818 0.818
Cu2 0.000 0.818 0.818
Cu3 0.000 0.182 0.182
Cu4 0.500 0.182 0.182

> What is the formula in the second record?

AcCu2Se3

> Which value of size of the total moment does entry 1 give?

0.00 μB per atom